The following is a PBE calculation of a geometry-optimized Ga2H2Se3 structure, from Alexandria.

The value obtained for the density is 3.8 Mg/m³. For the total energy, the calculation gives -24.339 eV for the cell shown. For the total magnetization, the calculation gives 0.00 μB per cell.

It has space group P-1 (No. 2), with a = 4.228 Å, b = 6.698 Å, c = 6.710 Å, α = 61.93°, β = 81.04° and γ = 88.23°. The distinct sites, in fractional coordinates, are Ga at (0.056, 0.018, 0.255), H at (0.302, 0.382, 0.747), Se at (0.044, 0.674, 0.157) and Se at (0.500, 0.000, 0.500).